Entry 1:
Density functional theory data (PBE) for crystalline Nd3B7Ir at its relaxed geometry.

Properties
The crystal system is orthorhombic. The symmetry is Cmcm (63). Its formation energy is -0.419 eV per atom.

```
Nd3B7Ir
1.0
-1.0047 2.0613 -2.7551
-7.2821 -1.6945 3.7195
0.9926 7.8782 5.5323
Nd B Ir
6 14 2
direct
0.1049 0.2098 0.4379
0.8951 0.7902 0.5621
0.2471 0.4943 0.7500
0.7529 0.5057 0.2500
0.1049 0.2098 0.0621
0.8951 0.7902 0.9379
0.4644 0.9289 0.7500
0.5356 0.0711 0.2500
0.4754 0.9507 0.3989
0.5246 0.0493 0.6011
0.5246 0.0493 0.8989
0.4754 0.9507 0.1011
0.3669 0.7338 0.3475
0.6331 0.2662 0.6525
0.2732 0.5465 0.4675
0.7268 0.4535 0.5325
0.7268 0.4535 0.9675
0.2732 0.5465 0.0325
0.3669 0.7338 0.1525
0.6331 0.2662 0.8475
0.9429 0.8857 0.2500
0.0571 0.1143 0.7500
```

=====

Entry 2:
Density functional theory data (PBE) for crystalline NdB3Ir3 at its relaxed geometry.

Properties
The crystal system is triclinic. The symmetry is P1 (1). Its formation energy is -0.314 eV per atom.

```
NdB3Ir3
1.0
-1.1677 0.7271 7.7941
6.8390 0.7475 3.4026
0.6761 7.3571 1.7880
Nd B Ir
4 12 12
direct
0.0651 0.5823 0.8986
0.8964 0.0621 0.5553
0.5550 0.5049 0.4923
0.5826 0.9017 0.0468
0.6874 0.5126 0.0118
0.7572 0.0671 0.1905
0.9431 0.7021 0.5743
0.1479 0.5456 0.2615
0.2554 0.2025 0.5241
0.1601 0.7941 0.1236
0.0938 0.1683 0.7539
0.4246 0.3547 0.9005
0.5779 0.3008 0.1787
0.5344 0.9448 0.6924
0.9448 0.4508 0.3023
0.3034 0.9693 0.3921
0.8617 0.3132 0.1652
0.9695 0.9861 0.9684
0.8641 0.7539 0.3180
0.1994 0.7275 0.4177
0.1959 0.0482 0.1551
0.2877 0.8893 0.6855
0.0211 0.4168 0.5496
0.3570 0.1914 0.7752
0.7017 0.3021 0.8726
0.6955 0.6813 0.7379
0.5237 0.0688 0.4048
0.3936 0.5576 0.0514
```

=====

Entry 3:
Density functional theory data (PBE) for crystalline NdBIr at its relaxed geometry.

Properties
The crystal system is cubic. The symmetry is P2_13 (198). Its formation energy is -0.543 eV per atom.

```
NdBIr
1.0
-1.4915 -5.7544 0.2810
1.0690 -0.5616 -5.8274
5.6612 -1.4100 1.1744
Ir B Nd
4 4 4
direct
0.3382 0.6618 0.1618
0.1618 0.3382 0.6618
0.6618 0.1618 0.3382
0.8382 0.8382 0.8382
0.4148 0.4148 0.4148
0.0852 0.5852 0.9148
0.9148 0.0852 0.5852
0.5852 0.9148 0.0852
0.1382 0.1382 0.1382
0.6382 0.3618 0.8618
0.3618 0.8618 0.6382
0.8618 0.6382 0.3618
```

=====

Entry 4:
Density functional theory data (PBE) for crystalline NdBIr at its relaxed geometry.

Properties
The crystal system is hexagonal. The symmetry is P-6m2 (187). Its formation energy is -0.545 eV per atom.

```
NdBIr
1.0
4.5318 0.0000 0.0000
0.0000 3.6937 0.0000
0.0000 -1.8469 3.1989
B Ir Nd
1 1 1
direct
0.1667 0.6667 0.3333
0.1667 0.0000 0.0000
0.6667 0.3333 0.6667
```

=====

Entry 5:
Density functional theory data (PBE) for crystalline NdBIr at its relaxed geometry.

Properties
The crystal system is orthorhombic. The symmetry is Imma (74). Its formation energy is -0.444 eV per atom.

```
NdBIr
1.0
5.4320 -0.0004 -0.0006
2.7173 4.8696 0.8632
2.7173 1.9210 4.5574
Nd B Ir
2 2 2
direct
0.9607 0.7678 0.9548
0.4607 0.2678 0.4548
0.4608 0.2678 0.9548
0.9608 0.2678 0.9548
0.2107 0.9671 0.2554
0.7108 0.5685 0.6541
```

=====

Entry 6:
Density functional theory data (PBE) for crystalline NdB6Ir12 at its relaxed geometry.

Properties
The crystal system is trigonal. The symmetry is R-3m (166). Its formation energy is -0.276 eV per atom.

```
NdB6Ir12
1.0
6.5550 0.0214 0.0302
-1.6041 6.3558 0.0302
-1.6041 -2.0662 6.0106
Nd B Ir
1 6 12
direct
0.0000 0.0000 0.0000
0.6655 0.2298 0.2298
0.2298 0.2298 0.6655
0.2298 0.6655 0.2298
0.7702 0.7702 0.3345
0.3345 0.7702 0.7702
0.7702 0.3345 0.7702
0.8649 0.1351 0.5000
0.8149 0.5536 0.5536
0.5536 0.5536 0.8149
0.4464 0.1851 0.4464
0.4464 0.4464 0.1851
0.1851 0.4464 0.4464
0.1351 0.5000 0.8649
0.5000 0.8649 0.1351
0.1351 0.8649 0.5000
0.8649 0.5000 0.1351
0.5000 0.1351 0.8649
0.5536 0.8149 0.5536
```

=====

Entry 7:
Density functional theory data (PBE) for crystalline Nd2B6Ir9 at its relaxed geometry.

Properties
The crystal system is hexagonal. The symmetry is P6/mmm (191). Its formation energy is -0.562 eV per atom.

```
Nd2B6Ir9
1.0
-3.4821 0.5999 -4.4753
-1.0487 -4.0154 3.9103
-4.7956 5.6198 4.4846
Nd B Ir
2 6 9
direct
0.0000 0.0000 0.7038
0.0000 0.0000 0.2962
0.3333 0.6667 0.0000
0.6667 0.3333 0.0000
0.3333 0.6667 0.6674
0.6667 0.3333 0.6674
0.6667 0.3333 0.3326
0.3333 0.6667 0.3326
0.5000 0.0000 0.8368
0.0000 0.5000 0.8368
0.5000 0.5000 0.8368
0.5000 0.0000 0.1632
0.0000 0.5000 0.1632
0.5000 0.5000 0.1632
0.5000 0.0000 0.5000
0.0000 0.5000 0.5000
0.5000 0.5000 0.5000
```

=====

Entry 8:
Density functional theory data (PBE) for crystalline NdB4Ir6 at its relaxed geometry.

Properties
The crystal system is tetragonal. The symmetry is I-42m (121). Its formation energy is -0.126 eV per atom.

```
NdB4Ir6
1.0
-5.4801 1.7114 2.2424
1.4247 -5.5533 -2.2626
5.0404 -1.2766 3.3095
Nd B Ir
1 4 6
direct
0.0000 0.0000 0.0000
0.0000 0.2048 0.5728
0.6320 0.4272 0.4272
0.0000 0.5728 0.2048
0.3680 0.7952 0.7952
0.0000 0.8733 0.5262
0.0000 0.5262 0.8733
0.6529 0.1267 0.1267
0.5000 0.0000 0.5000
0.3471 0.4738 0.4738
0.5000 0.5000 0.0000
```

=====

Entry 9:
Density functional theory data (PBE) for crystalline NdB2IrO8 at its relaxed geometry.

Properties
The uncorrected formation energy comes out at -1.70 eV per atom. The crystal system is trigonal. The symmetry is P-3m1 (164).

```
NdB2IrO8
1.0
-1.9790 4.4129 -0.9896
-1.0307 -2.2676 4.2620
5.2276 2.9838 2.8519
Nd B Ir O
1 2 1 8
direct
0.0000 0.0000 0.5000
0.6667 0.3333 0.2551
0.3333 0.6667 0.7449
0.0000 0.0000 0.0000
0.8288 0.1712 0.1859
0.8288 0.6577 0.1859
0.3423 0.1712 0.1859
0.6577 0.8288 0.8141
0.3333 0.6667 0.5298
0.6667 0.3333 0.4702
0.1712 0.8288 0.8141
0.1712 0.3423 0.8141
```

=====

Entry 10:
Density functional theory data (PBE) for crystalline Nd3B2IrPt9 at its relaxed geometry.

Properties
The crystal system is trigonal. The symmetry is P-3m1 (164). Its formation energy is -0.700 eV per atom.

```
Nd3B2IrPt9
1.0
5.7594 0.0000 0.0000
-2.8797 4.9878 0.0000
0.0000 0.0000 9.5552
Nd B Ir Pt
3 2 1 9
direct
0.3333 0.6667 0.5933
0.0000 0.0000 0.0000
0.6667 0.3333 0.4067
0.3333 0.6667 0.1466
0.6667 0.3333 0.8534
0.0000 0.0000 0.5000
0.8380 0.1620 0.7241
0.8380 0.6759 0.7241
0.3241 0.1620 0.7241
0.6759 0.8380 0.2759
0.1620 0.3241 0.2759
0.1620 0.8380 0.2759
0.5000 0.0000 0.0000
0.0000 0.5000 0.0000
0.5000 0.5000 0.0000
```

=====

Entry 11:
Density functional theory data (PBE) for crystalline Nd3B2IrRh9 at its relaxed geometry.

Properties
The crystal system is trigonal. The symmetry is P-3m1 (164). Its formation energy is -0.437 eV per atom.

```
Nd3B2IrRh9
1.0
5.9170 0.0000 0.0000
-2.9585 5.1242 0.0000
0.0000 0.0000 8.4848
Nd B Ir Rh
3 2 1 9
direct
0.3333 0.6667 0.6401
0.0000 0.0000 0.0000
0.6667 0.3333 0.3599
0.3333 0.6667 0.1404
0.6667 0.3333 0.8596
0.0000 0.0000 0.5000
0.8304 0.1696 0.7144
0.8304 0.6607 0.7144
0.3393 0.1696 0.7144
0.6607 0.8304 0.2856
0.1696 0.3393 0.2856
0.1696 0.8304 0.2856
0.5000 0.0000 0.0000
0.0000 0.5000 0.0000
0.5000 0.5000 0.0000
```

=====

Entry 12:
Density functional theory data (PBE) for crystalline NdB2IrRh at its relaxed geometry.

Properties
The crystal system is tetragonal. The symmetry is I-4m2 (119). Its formation energy is -0.648 eV per atom.

```
NdB2IrRh
1.0
-2.4292 2.1261 -2.1394
-2.3272 0.4263 3.0661
4.8611 2.8760 0.8439
Nd B Ir Rh
1 2 1 1
direct
0.0000 0.0000 0.0000
0.6555 0.6555 0.3109
0.3445 0.3445 0.6891
0.7500 0.2500 0.5000
0.2500 0.7500 0.5000
```

=====

Number 1: N(E_F) 5.26 states/eV per cell, M_tot 0.00 μB/cell. Number 2: N(E_F) 10.67 states/eV per cell, M_tot 0.00 μB/cell. Number 3: N(E_F) 14.63 states/eV per cell, M_tot 0.00 μB/cell. Number 4: N(E_F) 2.91 states/eV per cell, M_tot 0.00 μB/cell. Number 5: N(E_F) 3.30 states/eV per cell, M_tot 0.00 μB/cell. Number 6: N(E_F) 13.90 states/eV per cell, M_tot 0.00 μB/cell. Number 7: N(E_F) 2.67 states/eV per cell, M_tot 0.00 μB/cell. Number 8: N(E_F) 5.84 states/eV per cell, M_tot 0.00 μB/cell. Number 9: N(E_F) 9.05 states/eV per cell, M_tot 1.29 μB/cell. Number 10: N(E_F) 7.14 states/eV per cell, M_tot 0.00 μB/cell. Number 11: N(E_F) 16.11 states/eV per cell, M_tot 0.02 μB/cell. Number 12: N(E_F) 1.30 states/eV per cell, M_tot 0.00 μB/cell.